This record from the Alexandria database describes crystalline CsTl2AgSn at its relaxed geometry. The functional is PBE.

The structure in POSCAR format:
```
CsTl2AgSn
1.0
6.091 0.000 0.000
0.000 6.091 0.000
0.000 0.000 5.378
Cs Ag Tl Sn
1 1 2 1
Direct
0.500 0.500 0.500
0.000 0.000 0.500
0.000 0.500 0.000
0.500 0.000 0.000
0.000 0.000 0.000
```

- space-group type = P4/mmm (123)
- formation enthalpy at 0 K (eV/atom) = 0.11